(1)
The following is a PBE-GGA calculation of an optimized crystal structure of MnCdSbI2, from Alexandria.

Values from the calculation:
Symmetry: P4/mmm
E above lowest polymorph, meV per atom: 423
E_form (uncorrected), eV/atom: 0.631

Geometry as extended XYZ:
```
5
Lattice="-5.708 -0.557 -1.276 1.121 -5.030 -2.822 -0.807 -2.918 4.881" Properties=species:S:1:pos:R:3 pbc="T T T"
I 0.561 -2.515 -1.411
Cd 0.000 0.000 0.000
Sb -0.403 -1.459 2.440
Mn -2.697 -4.252 0.391
I -2.854 -0.278 -0.638
```

---

(2)
The following is a PBE-GGA calculation of an optimized crystal structure of MnCdSbI2, from Alexandria.

Values from the calculation:
Symmetry: P4/mmm
E above lowest polymorph, meV per atom: 0
E_form (uncorrected), eV/atom: 0.207

Geometry as extended XYZ:
```
5
Lattice="5.597 0.000 0.000 0.000 5.597 0.000 0.000 0.000 5.314" Properties=species:S:1:pos:R:3 pbc="T T T"
Cd 2.798 2.798 2.657
Mn 0.000 0.000 0.000
I 2.798 0.000 0.000
I 0.000 2.798 0.000
Sb 0.000 0.000 2.657
```

---

(3)
The following is a PBE-GGA calculation of an optimized crystal structure of ScMn2CdI, from Alexandria.

Values from the calculation:
Symmetry: P4/mmm
E_form (uncorrected), eV/atom: 1.131

Geometry as extended XYZ:
```
5
Lattice="-0.678 1.244 -4.591 -0.783 -5.625 -1.408 -4.713 0.451 0.818" Properties=species:S:1:pos:R:3 pbc="T T T"
Sc -3.087 -1.965 -2.590
I 0.000 0.000 0.000
Cd -0.391 -2.812 -0.704
Mn -0.339 0.622 -2.295
Mn -2.356 0.225 0.409
```

---

(4)
The following is a PBE-GGA calculation of an optimized crystal structure of SrMn2CdI, from Alexandria.

Values from the calculation:
Symmetry: P4/mmm
E_form (uncorrected), eV/atom: 0.956

Geometry as extended XYZ:
```
5
Lattice="-0.070 3.956 4.966 2.671 -4.385 3.531 5.736 2.168 -1.647" Properties=species:S:1:pos:R:3 pbc="T T T"
Sr 0.000 0.000 0.000
Mn 2.868 1.084 -0.823
I 1.336 -2.192 1.765
Cd 4.169 0.870 3.425
Mn -0.035 1.978 2.483
```

---

(5)
The following is a PBE-GGA calculation of an optimized crystal structure of MnCdTeI2, from Alexandria.

Values from the calculation:
Symmetry: P4/mmm
E above lowest polymorph, meV per atom: 111
E_form (uncorrected), eV/atom: 0.454

Geometry as extended XYZ:
```
5
Lattice="5.773 0.000 0.000 0.000 5.773 0.000 0.000 0.000 5.824" Properties=species:S:1:pos:R:3 pbc="T T T"
I 0.000 2.887 0.000
I 2.887 0.000 0.000
Cd 0.000 0.000 0.000
Te 0.000 0.000 2.912
Mn 2.887 2.887 2.912
```

---

(6)
The following is a PBE-GGA calculation of an optimized crystal structure of MnCdTe2I, from Alexandria.

Values from the calculation:
Symmetry: P4/mmm
E above lowest polymorph, meV per atom: 276
E_form (uncorrected), eV/atom: 0.640

Geometry as extended XYZ:
```
5
Lattice="5.609 0.000 0.000 0.000 5.609 0.000 0.000 0.000 5.852" Properties=species:S:1:pos:R:3 pbc="T T T"
I 0.000 0.000 2.926
Mn 2.805 2.805 2.926
Te 2.805 0.000 0.000
Te 0.000 2.805 0.000
Cd 0.000 0.000 0.000
```

---

(7)
The following is a PBE-GGA calculation of an optimized crystal structure of MnCdTe2I, from Alexandria.

Values from the calculation:
Symmetry: P4/mmm
E above lowest polymorph, meV per atom: 0
E_form (uncorrected), eV/atom: 0.364

Geometry as extended XYZ:
```
5
Lattice="4.979 0.000 0.000 0.000 5.814 0.000 0.000 0.000 4.979" Properties=species:S:1:pos:R:3 pbc="T T T"
Mn 0.000 0.000 0.000
I 0.000 2.907 0.000
Te 0.000 0.000 2.489
Te 2.489 0.000 0.000
Cd 2.489 2.907 2.489
```

---

(8)
The following is a PBE-GGA calculation of an optimized crystal structure of MnCdTeI2, from Alexandria.

Values from the calculation:
Symmetry: P4/mmm
E above lowest polymorph, meV per atom: 0
E_form (uncorrected), eV/atom: 0.343

Geometry as extended XYZ:
```
5
Lattice="-1.477 0.672 -5.360 0.874 -5.453 -0.925 -4.643 -0.941 1.162" Properties=species:S:1:pos:R:3 pbc="T T T"
I 0.437 -2.727 -0.462
Cd -2.623 -2.861 -2.561
Te -2.322 -0.471 0.581
Mn 0.000 0.000 0.000
I -0.739 0.336 -2.680
```

---

(9)
The following is a PBE-GGA calculation of an optimized crystal structure of MnCd2TeI, from Alexandria.

Values from the calculation:
Symmetry: P4/mmm
E_form (uncorrected), eV/atom: 0.319

Geometry as extended XYZ:
```
5
Lattice="-0.578 -4.119 4.205 4.546 -2.007 -1.342 2.714 3.564 3.863" Properties=species:S:1:pos:R:3 pbc="T T T"
Cd -0.289 -2.060 2.103
Te 0.000 0.000 0.000
Cd 1.357 1.782 1.932
I 3.341 -1.282 3.363
Mn 2.273 -1.004 -0.671
```

---

(10)
The following is a PBE-GGA calculation of an optimized crystal structure of CdMo3I, from Alexandria.

Values from the calculation:
Symmetry: Pm-3m
E above lowest polymorph, meV per atom: 0
E_form (uncorrected), eV/atom: 1.934

Geometry as extended XYZ:
```
5
Lattice="4.883 0.000 0.000 0.000 4.883 0.000 0.000 0.000 4.883" Properties=species:S:1:pos:R:3 pbc="T T T"
Mo 2.441 0.000 0.000
Mo 0.000 0.000 2.441
I 0.000 0.000 0.000
Mo 0.000 2.441 0.000
Cd 2.441 2.441 2.441
```

---

(11)
The following is a PBE-GGA calculation of an optimized crystal structure of CdMoIN2, from Alexandria.

Values from the calculation:
Symmetry: P4/mmm
E above lowest polymorph, meV per atom: 1854
E_form (uncorrected), eV/atom: 2.465

Geometry as extended XYZ:
```
5
Lattice="4.137 0.000 0.000 0.000 4.137 0.000 0.000 0.000 5.759" Properties=species:S:1:pos:R:3 pbc="T T T"
N 2.068 0.000 0.000
I 0.000 0.000 2.879
Mo 2.068 2.068 2.879
Cd 0.000 0.000 0.000
N 0.000 2.068 0.000
```

---

(12)
The following is a PBE-GGA calculation of an optimized crystal structure of CdMoI2N, from Alexandria.

Values from the calculation:
Symmetry: P4/mmm
E above lowest polymorph, meV per atom: 0
E_form (uncorrected), eV/atom: 0.234

Geometry as extended XYZ:
```
5
Lattice="5.723 0.000 0.000 0.000 5.723 0.000 0.000 0.000 3.859" Properties=species:S:1:pos:R:3 pbc="T T T"
Mo 0.000 0.000 0.000
I 0.000 2.862 0.000
Cd 2.862 2.862 1.930
I 2.862 0.000 0.000
N 0.000 0.000 1.930
```

---

Question: The highest E_form (uncorrected) belongs to which entry?
Answer: CdMoIN2

---

Question: Which of these has the lowest E_form (uncorrected)?
Answer: number 2

---

Question: Which of these has the lowest E_form (uncorrected)?
Answer: number 2

---

Question: Which value of E_form (uncorrected) does entry 4 give?
Answer: 0.956 eV/atom